Computed, not measured: a crystal of TiNiP2O8 relaxed with PBEsol at the SCAN level of DFT.

a = 4.7901 Å, b = 5.7615 Å, c = 9.8176 Å
α = 90.00°, β = 91.32°, γ = 90.00°
Closest atoms and distances in Å follow each position.
Sites, in units of the cell vectors:
O: 0.2796 0.0404 0.3277  1 P 1.58
P: 0.8864 0.7500 0.0913  4 O 1.50-1.58
O: 0.1675 0.2500 0.0594  1 P 1.50
O: 0.2627 0.0460 0.8308  1 P 1.58
O: 0.2796 0.4596 0.3277  1 P 1.58
O: 0.7373 0.9540 0.1692  1 P 1.58
O: 0.2627 0.4540 0.8308  1 P 1.58
Ti: 0.5344 0.2500 0.7289  6 O 1.87-2.03
Ti: 0.4656 0.7500 0.2711  6 O 1.87-2.03
O: 0.8325 0.7500 0.9406  1 P 1.50
O: 0.7373 0.5460 0.1692  1 P 1.58
O: 0.1997 0.7500 0.1283  1 P 1.54
Ni: 0.9582 0.2500 0.2275  4 O 1.94-2.08
P: 0.1136 0.2500 0.9087  4 O 1.50-1.58
O: 0.2583 0.7500 0.6083  1 P 1.50
O: 0.7417 0.2500 0.3917  1 P 1.50
O: 0.7204 0.9596 0.6723  1 P 1.58
O: 0.6500 0.7500 0.4455  1 P 1.55
P: 0.5711 0.7500 0.5974  4 O 1.50-1.58
Ni: 0.0418 0.7500 0.7725  4 O 1.94-2.08
O: 0.8003 0.2500 0.8717  1 P 1.54
P: 0.4289 0.2500 0.4026  4 O 1.50-1.58
O: 0.7204 0.5404 0.6723  1 P 1.58
O: 0.3500 0.2500 0.5545  1 P 1.55

Summary:
Formation energy (no corrections)   -2503 meV/atom